GGA-PBE Dy2ErBi4, relaxed; calculated formation energy = -4.01 eV per formula unit; total energy = -4.76 eV per atom; SG = Cmcm, No. 63; volume = 216 Å³/f.u.; ρ = 10.2 Mg/m³
1.0
2.2417 -5.6299 0.0000
2.2417 5.6299 0.0000
0.0000 0.0000 17.0912
Dy Er Bi
4 2 8
Direct
0.1618 0.8382 0.5743
0.1618 0.8382 0.9257
0.8382 0.1618 0.0743
0.8382 0.1618 0.4257
0.4452 0.5548 0.7500
0.5548 0.4452 0.2500
0.1458 0.8542 0.1232
0.1458 0.8542 0.3768
0.1530 0.8470 0.7500
0.5000 0.5000 0.0000
0.5000 0.5000 0.5000
0.8470 0.1530 0.2500
0.8542 0.1458 0.6232
0.8542 0.1458 0.8768